# 1
Density functional theory data (PBE-GGA) for a relaxed structure of BaLa2HgO5.

Results
The uncorrected formation energy is -2.44 eV per atom. Its total energy is -6.53 eV/atom. The space-group type is P4/mbm (127). The magnetic moment comes out at 0.000 μB/atom.

abc: 6.387 6.981 6.981
angles: 90.00 90.00 90.00
Atoms (fractional coordinates):
O1 0.257 0.345 0.155
O2 0.500 0.500 0.500
O3 0.500 0.000 0.000
O4 0.743 0.845 0.345
O5 0.257 0.845 0.345
O6 0.743 0.345 0.155
O7 0.743 0.655 0.845
O8 0.257 0.155 0.655
O9 0.743 0.155 0.655
O10 0.257 0.655 0.845
Ba1 0.000 0.000 0.000
Ba2 0.000 0.500 0.500
La1 0.500 0.175 0.325
La2 0.500 0.675 0.175
La3 0.500 0.325 0.825
La4 0.500 0.825 0.675
Hg1 0.000 0.500 0.000
Hg2 0.000 0.000 0.500

# 2
Density functional theory data (PBE-GGA) for a relaxed structure of UBrF2.

Results
The uncorrected formation energy is -2.68 eV per atom. Its total energy is -6.85 eV/atom. The space-group type is Cmcm (63). The magnetic moment comes out at 0.750 μB/atom. For the polymorph energy (0 for the lowest one), the calculation gives 0 meV/atom.

abc: 3.967 5.814 7.362
angles: 90.00 90.00 109.94
Site moments in Bohr magnetons follow the coordinates.
Atoms (fractional coordinates):
Br1 0.044 0.087 0.750  -0.02
Br2 0.956 0.913 0.250  -0.02
U1 0.759 0.519 0.750  2.90
U2 0.241 0.481 0.250  2.90
F1 0.314 0.628 0.930  -0.01
F2 0.686 0.372 0.430  -0.01
F3 0.686 0.372 0.070  -0.01
F4 0.314 0.628 0.570  -0.01

# 3
Density functional theory data (PBE-GGA) for a relaxed structure of HfIrRu2F.

Results
The uncorrected formation energy is 1.61 eV per atom. Its total energy is -6.24 eV/atom. The space-group type is P4/mmm (123). The magnetic moment comes out at 0.836 μB/atom.

abc: 4.899 4.840 4.899
angles: 90.00 90.00 90.00
Site moments in Bohr magnetons follow the coordinates.
Atoms (fractional coordinates):
Ir1 0.000 0.500 0.000  0.75
Ru1 0.000 0.000 0.500  1.75
Ru2 0.500 0.000 0.000  1.58
F1 0.500 0.500 0.500  0.14
Hf1 0.000 0.000 0.000  -0.24

# 4
Density functional theory data (PBE-GGA) for a relaxed structure of NbGaPtS2.

Results
The uncorrected formation energy is -0.05 eV per atom. Its total energy is -5.53 eV/atom. The space-group type is P4/mmm (123). The magnetic moment comes out at 0.000 μB/atom.

abc: 4.757 5.110 4.757
angles: 90.00 90.00 90.00
Atoms (fractional coordinates):
Nb1 0.000 0.000 0.000
Pt1 0.000 0.500 0.000
S1 0.000 0.000 0.500
S2 0.500 0.000 0.000
Ga1 0.500 0.500 0.500

# 5
Density functional theory data (PBE-GGA) for a relaxed structure of LiAc2Zn4Cu3.

Results
Its formation enthalpy at 0 K is -198 meV/atom. Its total energy is -2.95 eV/atom. The space-group type is P-4m2 (115). The magnetic moment comes out at 0.000 μB/atom.

abc: 4.222 4.222 11.311
angles: 90.00 90.00 90.00
Atoms (fractional coordinates):
Zn1 0.500 0.000 0.630
Zn2 0.000 0.000 0.000
Zn3 0.500 0.500 0.000
Zn4 0.000 0.500 0.370
Li1 0.500 0.500 0.500
Cu1 0.000 0.000 0.500
Cu2 0.000 0.500 0.134
Cu3 0.500 0.000 0.866
Ac1 0.000 0.500 0.757
Ac2 0.500 0.000 0.243

# 6
Density functional theory data (PBE-GGA) for a relaxed structure of Li3RuCl.

Results
The uncorrected formation energy is 0.44 eV per atom. Its total energy is -2.94 eV/atom. The space-group type is Pm-3m (221). The magnetic moment comes out at 0.400 μB/atom. For the polymorph energy (0 for the lowest one), the calculation gives 334 meV/atom.

abc: 4.992 4.992 4.992
angles: 90.00 90.00 90.00
Site moments in Bohr magnetons follow the coordinates.
Atoms (fractional coordinates):
Li1 0.500 0.000 0.000  -0.01
Li2 0.000 0.000 0.500  -0.01
Li3 0.000 0.500 0.000  -0.01
Cl1 0.500 0.500 0.500  0.03
Ru1 0.000 0.000 0.000  1.78

# 7
Density functional theory data (PBE-GGA) for a relaxed structure of CrAgW2.

Results
Its formation enthalpy at 0 K is 518 meV/atom. Its total energy is -9.08 eV/atom. The space-group type is P4/mmm (123). The magnetic moment comes out at 0.000 μB/atom. For the polymorph energy (0 for the lowest one), the calculation gives 132 meV/atom.

abc: 2.938 2.938 7.226
angles: 90.00 90.00 90.00
Atoms (fractional coordinates):
W1 0.000 0.000 0.961
W2 0.000 0.000 0.539
Cr1 0.500 0.500 0.750
Ag1 0.500 0.500 0.250

# 8
Density functional theory data (PBE-GGA) for a relaxed structure of CdTc2Pt.

Results
Its formation enthalpy at 0 K is 283 meV/atom. Its total energy is -6.64 eV/atom. The space-group type is Cmmm (65). The magnetic moment comes out at 0.001 μB/atom.

abc: 5.985 5.133 2.730
angles: 90.00 62.87 117.50
Atoms (fractional coordinates):
Tc1 0.500 0.000 0.500
Tc2 0.000 0.000 0.000
Pt1 0.500 0.500 0.000
Cd1 0.000 0.500 0.500

# 9
Density functional theory data (PBE-GGA) for a relaxed structure of LiCu2Hg2.

Results
Its formation enthalpy at 0 K is -3 meV/atom. Its total energy is -2.15 eV/atom. The space-group type is P4/mbm (127). The magnetic moment comes out at 0.000 μB/atom. For the polymorph energy (0 for the lowest one), the calculation gives 0 meV/atom.

abc: 7.245 7.245 3.325
angles: 90.00 90.00 90.00
Atoms (fractional coordinates):
Li1 0.000 0.000 0.000
Li2 0.500 0.500 0.000
Cu1 0.378 0.878 0.000
Cu2 0.122 0.378 0.000
Cu3 0.622 0.122 0.000
Cu4 0.878 0.622 0.000
Hg1 0.823 0.323 0.500
Hg2 0.323 0.177 0.500
Hg3 0.677 0.823 0.500
Hg4 0.177 0.677 0.500

# 10
Density functional theory data (PBE-GGA) for a relaxed structure of BeTl2Cr.

Results
Its formation enthalpy at 0 K is 1087 meV/atom. Its total energy is -3.43 eV/atom. The space-group type is I-42d (122). The magnetic moment comes out at 0.117 μB/atom. For the polymorph energy (0 for the lowest one), the calculation gives 559 meV/atom.

abc: 8.720 8.720 6.563
angles: 48.37 48.37 90.00
Site moments in Bohr magnetons follow the coordinates.
Atoms (fractional coordinates):
Tl1 0.375 0.509 0.750  -0.03
Tl2 0.491 0.125 0.250  -0.03
Tl3 0.259 0.625 0.250  -0.03
Tl4 0.875 0.741 0.750  -0.03
Be1 0.500 0.500 0.000  -0.03
Be2 0.250 0.750 0.500  -0.03
Cr1 0.000 0.000 0.000  0.60
Cr2 0.750 0.250 0.500  0.60